1.
TlTeN2: relaxed, PBE.

CIF file:
```
data_TlTeN2
_symmetry_space_group_name_H-M 'R -3 m'
_symmetry_Int_Tables_number 166
_symmetry_space_group_name_Hall '-R 3 2"'
_cell_length_a 3.5707
_cell_length_b 3.5707
_cell_length_c 19.5516
_cell_angle_alpha 90.00
_cell_angle_beta 90.00
_cell_angle_gamma 120.00
loop_
_atom_site_label
_atom_site_type_symbol
_atom_site_fract_x
_atom_site_fract_y
_atom_site_fract_z
_atom_site_occupancy
Tl1 Tl 0.0000 0.0000 0.0000 1
Te1 Te 0.0000 0.0000 0.5000 1
N1 N 0.0000 0.0000 0.3945 1
```

* uncorrected formation energy: 1127 meV per atom

***

2.
K3IrPd3O8: relaxed, PBE.

CIF file:
```
data_K3IrPd3O8
_symmetry_space_group_name_H-M 'C 1 2/m 1'
_symmetry_Int_Tables_number 12
_cell_length_a 12.831
_cell_length_b 6.190
_cell_length_c 6.753
_cell_angle_alpha 90.00
_cell_angle_beta 119.17
_cell_angle_gamma 90.00
loop_
_symmetry_equiv_pos_as_xyz
'x,y,z'
'-x,-y,-z'
'-x,y,-z'
'x,-y,z'
'x+1/2,y+1/2,z'
'-x+1/2,-y+1/2,-z'
'-x+1/2,y+1/2,-z'
'x+1/2,-y+1/2,z'
loop_
_atom_site_label
_atom_site_type_symbol
_atom_site_fract_x
_atom_site_fract_y
_atom_site_fract_z
_atom_site_occupancy
K1 K 0.000 0.000 0.000 1
K2 K 0.250 0.250 0.000 1
Ir1 Ir 0.000 0.000 0.500 1
Pd1 Pd 0.000 0.500 0.500 1
Pd2 Pd 0.250 0.250 0.500 1
O1 O 0.025 0.245 0.708 1
O2 O 0.177 0.000 0.598 1
O3 O 0.188 0.500 0.615 1
```

* uncorrected formation energy: -850 meV per atom

***

3.
PtRhAu2: relaxed, PBE.

CIF file:
```
data_PtRhAu2
_symmetry_space_group_name_H-M 'F -4 3 m'
_symmetry_Int_Tables_number 216
_symmetry_space_group_name_Hall 'F -4 2 3'
_cell_length_a 6.431
_cell_length_b 6.431
_cell_length_c 6.431
_cell_angle_alpha 90.00
_cell_angle_beta 90.00
_cell_angle_gamma 90.00
loop_
_atom_site_label
_atom_site_type_symbol
_atom_site_fract_x
_atom_site_fract_y
_atom_site_fract_z
_atom_site_occupancy
Pt1 Pt 0.000 0.000 0.000 1
Rh1 Rh 0.250 0.250 0.750 1
Au1 Au 0.000 0.000 0.500 1
Au2 Au 0.250 0.250 0.250 1
```

* ΔE_f: 0.211 eV/atom

***

4.
Sm3TmTl3: relaxed, PBE.

CIF file:
```
data_Sm3TmTl3
_symmetry_space_group_name_H-M 'P 63/m'
_symmetry_Int_Tables_number 176
_symmetry_space_group_name_Hall '-P 6c'
_cell_length_a 9.5187
_cell_length_b 9.5187
_cell_length_c 5.3074
_cell_angle_alpha 90.00
_cell_angle_beta 90.00
_cell_angle_gamma 120.00
loop_
_atom_site_label
_atom_site_type_symbol
_atom_site_fract_x
_atom_site_fract_y
_atom_site_fract_z
_atom_site_occupancy
Sm1 Sm 0.0034 0.7639 0.2500 1
Tm1 Tm 0.3333 0.6667 0.2500 1
Tl1 Tl 0.0728 0.6197 0.7500 1
```

* ΔE_f: -0.187 eV/atom

***

5.
YErGa: relaxed, PBE.

CIF file:
```
data_YErGa
_symmetry_space_group_name_H-M 'C 1 2/m 1'
_symmetry_Int_Tables_number 12
_cell_length_a 16.337
_cell_length_b 3.650
_cell_length_c 5.143
_cell_angle_alpha 90.00
_cell_angle_beta 90.06
_cell_angle_gamma 90.00
loop_
_symmetry_equiv_pos_as_xyz
'x,y,z'
'-x,-y,-z'
'-x,y,-z'
'x,-y,z'
'x+1/2,y+1/2,z'
'-x+1/2,-y+1/2,-z'
'-x+1/2,y+1/2,-z'
'x+1/2,-y+1/2,z'
loop_
_atom_site_label
_atom_site_type_symbol
_atom_site_fract_x
_atom_site_fract_y
_atom_site_fract_z
_atom_site_occupancy
Y1 Y 0.077 0.000 0.249 1
Er1 Er 0.223 0.000 0.750 1
Ga1 Ga 0.078 0.500 0.748 1
```

* ΔE_f: -0.408 eV/atom

***

6.
NdSm6Tm3: relaxed, PBE.

CIF file:
```
data_NdSm6Tm3
_symmetry_space_group_name_H-M 'C m c 21'
_symmetry_Int_Tables_number 36
_cell_length_a 11.015
_cell_length_b 19.179
_cell_length_c 6.259
_cell_angle_alpha 90.00
_cell_angle_beta 90.00
_cell_angle_gamma 90.00
loop_
_symmetry_equiv_pos_as_xyz
'x,y,z'
'-x,-y,z+1/2'
'-x,y,z'
'x,-y,z+1/2'
'x+1/2,y+1/2,z'
'-x+1/2,-y+1/2,z+1/2'
'-x+1/2,y+1/2,z'
'x+1/2,-y+1/2,z+1/2'
loop_
_atom_site_label
_atom_site_type_symbol
_atom_site_fract_x
_atom_site_fract_y
_atom_site_fract_z
_atom_site_occupancy
Nd1 Nd 0.000 0.198 0.000 1
Sm1 Sm 0.000 0.040 0.772 1
Sm2 Sm 0.000 0.281 0.524 1
Sm3 Sm 0.167 0.458 0.423 1
Sm4 Sm 0.238 0.291 0.249 1
Tm1 Tm 0.000 0.386 0.962 1
Tm2 Tm 0.172 0.113 0.342 1
```

* ΔE_f: 0.150 eV/atom

***

7.
DyEr2Pb: relaxed, PBE.

CIF file:
```
data_DyEr2Pb
_symmetry_space_group_name_H-M 'P 4/m m m'
_symmetry_Int_Tables_number 123
_symmetry_space_group_name_Hall '-P 4 2'
_cell_length_a 4.833
_cell_length_b 4.833
_cell_length_c 4.817
_cell_angle_alpha 90.00
_cell_angle_beta 90.00
_cell_angle_gamma 90.00
loop_
_atom_site_label
_atom_site_type_symbol
_atom_site_fract_x
_atom_site_fract_y
_atom_site_fract_z
_atom_site_occupancy
Dy1 Dy 0.000 0.000 0.000 1
Er1 Er 0.000 0.500 0.500 1
Pb1 Pb 0.500 0.500 0.000 1
```

* ΔE_f: -0.262 eV/atom

***

8.
RbBaBiSe2: relaxed, PBE.

CIF file:
```
data_RbBaBiSe2
_symmetry_space_group_name_H-M 'P 4/m m m'
_symmetry_Int_Tables_number 123
_symmetry_space_group_name_Hall '-P 4 2'
_cell_length_a 5.942
_cell_length_b 5.942
_cell_length_c 5.885
_cell_angle_alpha 90.00
_cell_angle_beta 90.00
_cell_angle_gamma 90.00
loop_
_atom_site_label
_atom_site_type_symbol
_atom_site_fract_x
_atom_site_fract_y
_atom_site_fract_z
_atom_site_occupancy
Rb1 Rb 0.000 0.000 0.000 1
Ba1 Ba 0.500 0.500 0.500 1
Bi1 Bi 0.000 0.000 0.500 1
Se1 Se 0.000 0.500 0.000 1
```

* uncorrected formation energy: 33 meV per atom

***

9.
SiAs2Au: relaxed, PBE.

CIF file:
```
data_SiAs2Au
_symmetry_space_group_name_H-M 'P 4 m m'
_symmetry_Int_Tables_number 99
_cell_length_a 3.551
_cell_length_b 3.551
_cell_length_c 6.619
_cell_angle_alpha 90.00
_cell_angle_beta 90.00
_cell_angle_gamma 90.00
loop_
_symmetry_equiv_pos_as_xyz
'x,y,z'
'-y,x,z'
'-x,-y,z'
'y,-x,z'
'-x,y,z'
'y,x,z'
'x,-y,z'
'-y,-x,z'
loop_
_atom_site_label
_atom_site_type_symbol
_atom_site_fract_x
_atom_site_fract_y
_atom_site_fract_z
_atom_site_occupancy
Si1 Si 0.000 0.000 0.000 1
As1 As 0.000 0.000 0.602 1
As2 As 0.500 0.500 0.146 1
Au1 Au 0.500 0.500 0.740 1
```

* uncorrected formation energy: 299 meV per atom